# CsYSb2Te SCAN single point on PBEsol structure
# Uncorrected formation energy, meV per atom: 1066
data_CsYSb2Te
_chemical_formula_sum 'Cs1 Y1 Sb2 Te1'
_cell_length_a 5.842
_cell_length_b 5.842
_cell_length_c 5.856
_cell_angle_alpha 90.00
_cell_angle_beta 90.00
_cell_angle_gamma 90.00
_space_group_name_H-M_alt 'P 4/m m m'
_space_group_IT_number 123
_space_group_name_Hall '-P 4 2'
loop_
_atom_site_label
_atom_site_type_symbol
_atom_site_fract_x
_atom_site_fract_y
_atom_site_fract_z
Cs1 Cs 0.000 0.000 0.000
Y1 Y 0.500 0.500 0.500
Sb1 Sb 0.000 0.500 0.000
Te1 Te 0.000 0.000 0.500

# Mg2BO SCAN single point on PBEsol structure
# Uncorrected formation energy, meV per atom: -692
data_Mg2BO
_chemical_formula_sum 'Mg8 B4 O4'
_cell_length_a 5.604
_cell_length_b 5.604
_cell_length_c 7.020
_cell_angle_alpha 90.00
_cell_angle_beta 90.00
_cell_angle_gamma 90.00
_space_group_name_H-M_alt 'I -4 2 d'
_space_group_IT_number 122
_space_group_name_Hall 'I -4 2bw'
loop_
_atom_site_label
_atom_site_type_symbol
_atom_site_fract_x
_atom_site_fract_y
_atom_site_fract_z
Mg1 Mg 0.188 0.750 0.125
B1 B 0.000 0.000 0.500
O1 O 0.000 0.000 0.000

# NaFeTe2 SCAN single point on PBEsol structure
# Uncorrected formation energy, meV per atom: 69
data_NaFeTe2
_chemical_formula_sum 'Na4 Fe4 Te8'
_cell_length_a 7.004
_cell_length_b 7.004
_cell_length_c 7.004
_cell_angle_alpha 90.00
_cell_angle_beta 90.00
_cell_angle_gamma 90.00
_space_group_name_H-M_alt 'F m -3 m'
_space_group_IT_number 225
_space_group_name_Hall '-F 4 2 3'
loop_
_atom_site_label
_atom_site_type_symbol
_atom_site_fract_x
_atom_site_fract_y
_atom_site_fract_z
Na1 Na 0.000 0.000 0.000
Fe1 Fe 0.000 0.000 0.500
Te1 Te 0.250 0.250 0.250

# LaAlO3 SCAN single point on PBEsol structure
# Uncorrected formation energy, meV per atom: -3552
data_LaAlO3
_chemical_formula_sum 'La6 Al6 O18'
_cell_length_a 6.749
_cell_length_b 7.780
_cell_length_c 7.990
_cell_angle_alpha 102.98
_cell_angle_beta 92.45
_cell_angle_gamma 93.11
_space_group_name_H-M_alt 'P -1'
_space_group_IT_number 2
_space_group_name_Hall '-P 1'
loop_
_atom_site_label
_atom_site_type_symbol
_atom_site_fract_x
_atom_site_fract_y
_atom_site_fract_z
La1 La 0.075 0.250 0.023
La2 La 0.277 0.405 0.612
La3 La 0.375 0.920 0.688
Al1 Al 0.145 0.980 0.298
Al2 Al 0.187 0.603 0.302
Al3 Al 0.414 0.722 0.034
O1 O 0.035 0.782 0.336
O2 O 0.045 0.414 0.316
O3 O 0.053 0.948 0.812
O4 O 0.222 0.571 0.077
O5 O 0.309 0.092 0.466
O6 O 0.309 0.929 0.123
O7 O 0.356 0.250 0.849
O8 O 0.382 0.642 0.457
O9 O 0.428 0.679 0.812

# Li2BrO SCAN single point on PBEsol structure
# Uncorrected formation energy, meV per atom: -1281
data_Li2BrO
_chemical_formula_sum 'Li8 Br4 O4'
_cell_length_a 5.356
_cell_length_b 5.356
_cell_length_c 8.778
_cell_angle_alpha 90.00
_cell_angle_beta 90.00
_cell_angle_gamma 90.00
_space_group_name_H-M_alt 'I -4 2 d'
_space_group_IT_number 122
_space_group_name_Hall 'I -4 2bw'
loop_
_atom_site_label
_atom_site_type_symbol
_atom_site_fract_x
_atom_site_fract_y
_atom_site_fract_z
Li1 Li 0.120 0.250 0.125
Br1 Br 0.000 0.000 0.500
O1 O 0.000 0.000 0.000

# K2TaMo SCAN single point on PBEsol structure
# Energy relative to the lowest polymorph listed for this composition, eV/atom: 0.333
# Calculated formation energy, eV/f.u.: 6.02
data_K2TaMo
_chemical_formula_sum 'K2 Ta1 Mo1'
_cell_length_a 3.823
_cell_length_b 3.823
_cell_length_c 6.310
_cell_angle_alpha 90.00
_cell_angle_beta 90.00
_cell_angle_gamma 90.00
_space_group_name_H-M_alt 'P 4/m m m'
_space_group_IT_number 123
_space_group_name_Hall '-P 4 2'
loop_
_atom_site_label
_atom_site_type_symbol
_atom_site_fract_x
_atom_site_fract_y
_atom_site_fract_z
K1 K 0.000 0.500 0.000
Ta1 Ta 0.000 0.000 0.500
Mo1 Mo 0.500 0.500 0.500

Taking the records one at a time from the top gives Fermi-level density of states values of 2.86; 0.86; 7.04; 0.00; 3.27; 4.43 states/eV/f.u..
Taking the records one at a time from the top gives VASP energy values of -34.419; -6.594; -24.142; -17.462; -8.899; -28.027 eV/atom.